The following is a PBE with a Hubbard U calculation of an optimized crystal structure of SrV2CdO6, from Alexandria.

Structure (CIF):
```
data_SrV2CdO6
_symmetry_space_group_name_H-M 'P 1'
_symmetry_Int_Tables_number 1
_cell_length_a 7.5579
_cell_length_b 7.5579
_cell_length_c 6.3214
_cell_angle_alpha 105.79
_cell_angle_beta 105.79
_cell_angle_gamma 87.83
loop_
_symmetry_equiv_pos_as_xyz
'x,y,z'
loop_
_atom_site_label
_atom_site_fract_x
_atom_site_fract_y
_atom_site_fract_z
Sr1 0.1096 0.8904 0.7500
Sr2 0.8904 0.1096 0.2500
V1 0.2250 0.3788 0.7885
V2 0.3788 0.2250 0.2885
V3 0.6212 0.7750 0.7115
V4 0.7750 0.6212 0.2115
Cd1 0.2470 0.7530 0.2500
Cd2 0.7530 0.2470 0.7500
O1 0.0389 0.2077 0.6739
O2 0.1624 0.6117 0.8942
O3 0.2077 0.0389 0.1739
O4 0.3103 0.3710 0.5379
O5 0.3710 0.3103 0.0379
O6 0.3883 0.8376 0.6058
O7 0.6117 0.1624 0.3942
O8 0.6290 0.6897 0.9621
O9 0.6897 0.6290 0.4621
O10 0.7923 0.9611 0.8261
O11 0.8376 0.3883 0.1058
O12 0.9611 0.7923 0.3261
```

## Properties
The value obtained for the total DFT energy (no corrections) is -134.0 eV/cell.